U2VPd9: relaxed, GGA-PBE.

Cell lengths 4.0927, 4.0927, 12.0866 Å; angles 90.00, 90.00, 90.00 degrees
With the nearest neighbours (Å) after each atom.
Space group P4/mmm (No. 123)
One atom of each set of equivalent atoms:
U  0.0000  0.0000  0.1762 [2 per cell]  12 Pd 2.88-2.95
V  0.0000  0.0000  0.5000 [1 per cell]  12 Pd 2.79-2.89
Pd  0.0000  0.5000  0.0000 [2 per cell]  8 Pd 2.89-2.91, 4 U 2.95
Pd  0.0000  0.5000  0.3434 [4 per cell]  8 Pd 2.79-2.92, 2 V 2.79, 2 U 2.88
Pd  0.5000  0.5000  0.1713 [2 per cell]  4 U 2.89, 8 Pd 2.91-2.92
Pd  0.5000  0.5000  0.5000 [1 per cell]  8 Pd 2.79, 4 V 2.89

Properties
M_tot: 0.494 μB per atom
E_tot: -6.946 eV per atom
Formation energy: -4.9 eV per formula unit